Entry 1:
The following is a PBE-GGA calculation of HfZr2HgH after structural relaxation, from Alexandria.

Computed properties:
DFT total energy   -31.95 eV for the cell shown
SG   P4/mmm, No. 123

Structure (extended XYZ):
```
5
Lattice="4.4524 0.0000 0.0000 0.0000 4.4524 0.0000 0.0000 0.0000 4.4399" Properties=species:S:1:pos:R:3 pbc="T T T"
Hf 0.0000 0.0000 0.0000
Zr 0.0000 2.2262 2.2200
Zr 2.2262 0.0000 2.2200
Hg 2.2262 2.2262 0.0000
H 0.0000 0.0000 2.2200
```


Entry 2:
The following is a PBE-GGA calculation of TlBS3 after structural relaxation, from Alexandria.

Computed properties:
DFT total energy   -42.18 eV for the cell shown
SG   Cmcm, No. 63
E_form (uncorrected)   0.07 eV/atom

Structure (extended XYZ):
```
10
Lattice="3.0194 -6.4018 0.0000 3.0194 6.4018 0.0000 0.0000 0.0000 5.4837" Properties=species:S:1:pos:R:3 pbc="T T T"
Tl 3.0194 3.7744 4.1127
Tl 3.0194 -3.7744 1.3709
B 3.0194 0.7515 1.3709
B 3.0194 -0.7515 4.1127
S 1.6779 0.0000 0.0000
S 1.6779 0.0000 2.7418
S 3.0194 2.6375 1.3709
S 3.0194 -2.6375 4.1127
S 4.3609 0.0000 0.0000
S 4.3609 0.0000 2.7418
```